(1)
## ZnIn2C (PBE-GGA)

Data for a relaxed structure of ZnIn2C.

Cell lengths 4.7103, 4.7103, 4.7103 Å; angles 60.00, 60.00, 60.00 degrees
Fractional coordinates of all 4 atoms:
1 Zn 0.5000 0.5000 0.5000
2 C 0.0000 0.0000 0.0000
3 In 0.2500 0.2500 0.2500
4 In 0.7500 0.7500 0.7500

Values from the calculation:
Calculated formation energy (eV/atom): 1.22
Crystal system: cubic
Polymorph energy (0 for the lowest one) (meV/atom): 455
N(E_F) (states/eV/cell): 1.66
Symmetry: Fm-3m, No. 225



(2)
## Zr6InC (PBE-GGA)

Data for a relaxed structure of Zr6InC.

Cell lengths 5.6343, 5.6354, 5.6355 Å; angles 79.87, 100.11, 79.86 degrees
Fractional coordinates of all 8 atoms:
1 Zr 0.0816 0.3372 0.7683
2 Zr 0.7682 0.9184 0.6629
3 Zr 0.6628 0.2318 0.0818
4 Zr 0.2318 0.0816 0.3371
5 Zr 0.9184 0.6628 0.2317
6 Zr 0.3372 0.7682 0.9182
7 In 0.5000 0.5000 0.5000
8 C 0.0000 0.0000 0.0000

Values from the calculation:
Calculated formation energy (eV/atom): -0.27
Crystal system: trigonal
N(E_F) (states/eV/cell): 7.98
Symmetry: R-3, No. 148



(3)
## Zr7In2C2 (PBE-GGA)

Data for a relaxed structure of Zr7In2C2.

Cell lengths 6.0900, 6.2300, 6.0900 Å; angles 89.96, 106.58, 90.04 degrees
Fractional coordinates of all 11 atoms:
1 Zr 0.9997 0.2328 0.5000
2 Zr 0.5000 0.7672 0.9997
3 Zr 0.0003 0.7672 0.5000
4 Zr 0.5000 0.2328 0.0003
5 Zr 0.0000 0.0000 0.0000
6 Zr 0.5003 0.7742 0.4997
7 Zr 0.4997 0.2258 0.5003
8 In 0.8184 0.5000 0.8184
9 In 0.1816 0.5000 0.1816
10 C 0.7322 0.9999 0.2678
11 C 0.2678 0.0001 0.7322

Values from the calculation:
Calculated formation energy (eV/atom): -0.11
Crystal system: orthorhombic
N(E_F) (states/eV/cell): 7.30
Symmetry: Cmmm, No. 65



(4)
## Zr2In2C (PBE-GGA)

Data for a relaxed structure of Zr2In2C.

Cell lengths 3.3835, 3.3839, 10.5220 Å; angles 80.82, 80.75, 60.00 degrees
Fractional coordinates of all 5 atoms:
1 Zr 0.7067 0.2057 0.3809
2 Zr 0.2933 0.7943 0.6191
3 In 0.4546 0.9527 0.1382
4 In 0.5454 0.0473 0.8618
5 C 0.0000 0.5000 0.5000

Values from the calculation:
Calculated formation energy (eV/atom): -0.52
Crystal system: monoclinic
N(E_F) (states/eV/cell): 2.14
Symmetry: C2/m, No. 12